DFT (PBE-GGA) results for crystalline CeMnSi at its relaxed geometry.

a b c (Å): 3.7739 4.2529 4.2529
angles (deg): 120.00 90.00 90.00
Site moments in Bohr magnetons follow the coordinates.
Element x y z (fractional)
Si 0.1667 0.0000 0.0000  -0.03
Ce 0.6667 0.6667 0.3333  -0.44
Mn 0.1666 0.3333 0.6667  2.80

Values from the calculation:
Its mass density is 6.268 Mg/m³. For the total energy, the calculation gives -7.190 eV/atom. The value obtained for the uncorrected formation energy is -348 meV per atom. As for the symmetry: P-6m2 (187). The total magnetization comes out at 0.77 μB/atom.


DFT (PBE-GGA) results for crystalline RbHfTc2Au at its relaxed geometry.

a b c (Å): 4.9667 5.5482 4.9667
angles (deg): 90.00 90.00 90.00
Site moments in Bohr magnetons follow the coordinates.
Element x y z (fractional)
Hf 0.0000 0.0000 0.0000  -0.26
Au 0.0000 0.5000 0.0000  0.02
Tc 0.0000 0.0000 0.5000  1.77
Rb 0.5000 0.5000 0.5000  0.01
Tc 0.5000 0.0000 0.0000  2.09

Values from the calculation:
Its mass density is 7.970 Mg/m³. For the total energy, the calculation gives -5.751 eV/atom. As for the symmetry: P4/mmm (123). The total magnetization comes out at 0.82 μB/atom. Its formation energy is 1.235 eV per atom.


DFT (PBE-GGA) results for crystalline UAl2Sb at its relaxed geometry.

a b c (Å): 4.4492 4.3215 4.3215
angles (deg): 90.00 90.00 90.00
Site moments in Bohr magnetons follow the coordinates.
Element x y z (fractional)
Al 0.0000 0.0000 0.5000  0.00
Sb 0.5000 0.0000 0.0000  -0.03
U 0.5000 0.5000 0.5000  1.43
Al 0.0000 0.5000 0.0000  0.00

Values from the calculation:
Its mass density is 8.269 Mg/m³. For the total energy, the calculation gives -5.898 eV/atom. The value obtained for the uncorrected formation energy is -174 meV per atom. As for the symmetry: P4/mmm (123). The total magnetization comes out at 0.38 μB/atom.


DFT (PBE-GGA) results for crystalline BaY2Cu at its relaxed geometry.

a b c (Å): 5.4752 4.7801 4.7801
angles (deg): 90.00 90.00 90.00
Element x y z (fractional)
Y 0.0000 0.0000 0.0000
Cu 0.5000 0.0000 0.5000
Y 0.0000 0.5000 0.5000
Ba 0.5000 0.5000 0.0000

Values from the calculation:
Its mass density is 5.026 Mg/m³. For the total energy, the calculation gives -4.369 eV/atom. As for the symmetry: P4/mmm (123). Its energy above the lowest structure with this stoichiometry is 329.9 meV/atom. The total magnetization comes out at 0.00 μB/atom. Its formation energy is 0.368 eV per atom.


DFT (PBE-GGA) results for crystalline HoPu2Th at its relaxed geometry.

a b c (Å): 4.8048 4.8967 4.8967
angles (deg): 90.00 90.00 90.00
Site moments in Bohr magnetons follow the coordinates.
Element x y z (fractional)
Pu 0.0000 0.5000 0.0000  5.41
Th 0.5000 0.5000 0.5000  0.21
Pu 0.0000 0.0000 0.5000  5.41
Ho 0.5000 0.0000 0.0000  0.17

Values from the calculation:
Its mass density is 12.756 Mg/m³. For the total energy, the calculation gives -10.001 eV/atom. As for the symmetry: P4/mmm (123). Its energy above the lowest structure with this stoichiometry is 0.0 meV/atom. The total magnetization comes out at 3.01 μB/atom. Its formation energy is 0.165 eV per atom.


DFT (PBE-GGA) results for crystalline Ac2CdSn at its relaxed geometry.

a b c (Å): 5.7725 5.7725 5.7725
angles (deg): 60.00 60.00 60.00
Element x y z (fractional)
Ac 0.2500 0.2500 0.2500
Sn 0.0000 0.0000 0.0000
Ac 0.7500 0.7500 0.7500
Cd 0.5000 0.5000 0.5000

Values from the calculation:
Its mass density is 8.364 Mg/m³. For the total energy, the calculation gives -3.757 eV/atom. As for the symmetry: Fm-3m (225). Its energy above the lowest structure with this stoichiometry is 22.3 meV/atom. The total magnetization comes out at 0.00 μB/atom. Its formation energy is -0.473 eV per atom.


DFT (PBE-GGA) results for crystalline LiNb3Ge at its relaxed geometry.

a b c (Å): 4.3922 4.3922 4.3922
angles (deg): 90.00 90.00 90.00
Element x y z (fractional)
Ge 0.5000 0.5000 0.5000
Nb 0.0000 0.0000 0.5000
Li 0.0000 0.0000 0.0000
Nb 0.5000 0.0000 0.0000
Nb 0.0000 0.5000 0.0000

Values from the calculation:
Its mass density is 7.022 Mg/m³. For the total energy, the calculation gives -6.528 eV/atom. As for the symmetry: Pm-3m (221). Its energy above the lowest structure with this stoichiometry is 0.0 meV/atom. The total magnetization comes out at 0.00 μB/atom. Its formation energy is 0.820 eV per atom.


DFT (PBE-GGA) results for crystalline NaSr2Cd2 at its relaxed geometry.

a b c (Å): 4.3914 4.9721 8.7712
angles (deg): 106.47 90.00 90.00
Element x y z (fractional)
Sr 0.5000 0.6371 0.2741
Cd 0.0000 0.1982 0.3964
Cd 0.0000 0.8018 0.6036
Sr 0.5000 0.3629 0.7259
Na 0.0000 0.0000 0.0000

Values from the calculation:
Its mass density is 3.825 Mg/m³. For the total energy, the calculation gives -1.523 eV/atom. As for the symmetry: Cmmm (65). Its energy above the lowest structure with this stoichiometry is 10.6 meV/atom. The total magnetization comes out at 0.00 μB/atom. Its formation energy is -0.221 eV per atom.


DFT (PBE-GGA) results for crystalline SnPb5Se6 at its relaxed geometry.

a b c (Å): 7.5730 7.5712 7.5720
angles (deg): 60.00 80.41 70.53
Element x y z (fractional)
Se 0.2467 0.5893 0.3285
Pb 0.5000 0.1676 0.6647
Pb 0.0000 0.3335 0.3330
Se 0.2467 0.9178 0.6715
Pb 0.5000 0.5000 0.0000
Se 0.2484 0.2457 0.0000
Se 0.7533 0.0822 0.3285
Se 0.7516 0.7543 0.0000
Se 0.7533 0.4107 0.6715
Pb 0.5000 0.8324 0.3353
Sn 0.0000 0.0000 0.0000
Pb 0.0000 0.6665 0.6670

Values from the calculation:
Its mass density is 7.628 Mg/m³. For the total energy, the calculation gives -4.164 eV/atom. The value obtained for the uncorrected formation energy is -543 meV per atom. As for the symmetry: C2/m (12). The total magnetization comes out at 0.00 μB/atom.


DFT (PBE-GGA) results for crystalline CaZnCd3 at its relaxed geometry.

a b c (Å): 5.0986 5.0986 5.0986
angles (deg): 90.00 90.00 90.00
Element x y z (fractional)
Ca 0.5000 0.5000 0.5000
Zn 0.0000 0.0000 0.0000
Cd 0.5000 0.0000 0.0000
Cd 0.0000 0.5000 0.0000
Cd 0.0000 0.0000 0.5000

Values from the calculation:
Its mass density is 5.547 Mg/m³. For the total energy, the calculation gives -1.199 eV/atom. As for the symmetry: Pm-3m (221). Its energy above the lowest structure with this stoichiometry is 184.8 meV/atom. The total magnetization comes out at 0.00 μB/atom. Its formation energy is 0.005 eV per atom.


DFT (PBE-GGA) results for crystalline Ac3AgB2O8 at its relaxed geometry.

a b c (Å): 5.3872 5.3872 7.4129
angles (deg): 90.00 90.00 120.00
Element x y z (fractional)
O 0.1827 0.3654 0.2691
O 0.3654 0.1827 0.7309
O 0.8173 0.1827 0.7309
B 0.3333 0.6667 0.1996
Ac 0.0000 0.0000 0.0000
B 0.6667 0.3333 0.8004
Ac 0.3333 0.6667 0.6883
O 0.6667 0.3333 0.0015
O 0.6346 0.8173 0.2691
O 0.8173 0.6346 0.7309
O 0.1827 0.8173 0.2691
Ac 0.6667 0.3333 0.3117
Ag 0.0000 0.0000 0.5000
O 0.3333 0.6667 0.9985

Values from the calculation:
Its mass density is 8.364 Mg/m³. For the total energy, the calculation gives -7.539 eV/atom. The value obtained for the uncorrected formation energy is -2668 meV per atom. As for the symmetry: P-3m1 (164). The total magnetization comes out at 0.00 μB/atom.


DFT (PBE-GGA) results for crystalline Sn2Sb3Se8 at its relaxed geometry.

a b c (Å): 6.9833 7.8169 8.3867
angles (deg): 117.78 107.08 90.00
Element x y z (fractional)
Sn 0.6686 0.7637 0.5275
Se 0.5860 0.1351 0.7682
Se 0.0587 0.3809 0.7618
Sb 0.5000 0.0000 0.0000
Se 0.5860 0.6331 0.7682
Se 0.9030 0.1273 0.2547
Sn 0.3314 0.2363 0.4725
Se 0.9413 0.6191 0.2382
Se 0.0970 0.8727 0.7453
Se 0.4140 0.3669 0.2318
Sb 0.0000 0.2618 0.0000
Se 0.4140 0.8649 0.2318
Sb 0.0000 0.7382 0.0000

Values from the calculation:
Its mass density is 5.365 Mg/m³. For the total energy, the calculation gives -3.902 eV/atom. The value obtained for the uncorrected formation energy is -190 meV per atom. As for the symmetry: C2/m (12). The total magnetization comes out at 0.00 μB/atom.


DFT (PBE-GGA) results for crystalline U3SeN3 at its relaxed geometry.

a b c (Å): 6.6298 6.6298 7.9176
angles (deg): 65.25 65.25 60.00
Site moments in Bohr magnetons follow the coordinates.
Element x y z (fractional)
U 0.7580 0.4429 0.7014  2.10
U 0.4429 0.0977 0.7014  2.10
Se 0.3335 0.3335 0.9994  -0.06
N 0.8731 0.5506 0.3711  -0.10
N 0.5506 0.2052 0.3711  -0.10
U 0.5571 0.9023 0.2986  2.10
N 0.2052 0.8731 0.3711  -0.10
Se 0.6665 0.6665 0.0006  -0.06
N 0.7948 0.1269 0.6289  -0.10
U 0.2420 0.5571 0.2986  2.10
U 0.0977 0.7580 0.7014  2.10
N 0.1269 0.4494 0.6289  -0.10
N 0.4494 0.7948 0.6289  -0.10
U 0.9023 0.2420 0.2986  2.10

Values from the calculation:
Its mass density is 10.512 Mg/m³. For the total energy, the calculation gives -10.225 eV/atom. The value obtained for the uncorrected formation energy is -1322 meV per atom. As for the symmetry: R-3 (148). The total magnetization comes out at 1.00 μB/atom.